[1]
Crystalline BaIrPb2 at its relaxed geometry, computed with PBE-GGA.

Results
Formation energy from the elements ... -0.17 eV/atom

a b c (Å): 8.0648 4.6607 6.8860
angles (deg): 90.00 113.04 90.00
Last column: nearest neighbours and their distance in Å.
Space group C2/m (No. 12)
One atom of each set of equivalent atoms:
1 Ba 0.0000 0.0000 0.0000 x2  6 Pb 3.48
2 Ir 0.0000 0.5000 0.5000 x2  6 Pb 2.85-2.86
3 Pb 0.2171 0.0000 0.6512 x4  3 Ir 2.85-2.86

=====

[2]
Crystalline BaIrPb2 at its relaxed geometry, computed with PBE-GGA.

Results
Formation energy from the elements ... -0.08 eV/atom

a b c (Å): 3.5526 5.8556 11.0885
angles (deg): 90.00 90.00 90.00
Last column: nearest neighbours and their distance in Å.
Space group Immm (No. 71)
One atom of each set of equivalent atoms:
1 Ba 0.0000 0.0000 0.0000 x2  4 Ir 3.42, 2 Ba 3.55, 8 Pb 3.67-3.78
2 Ir 0.0000 0.0000 0.5000 x2  4 Pb 2.83
3 Pb 0.0000 0.5000 0.1991 x4  2 Ir 2.83

=====

[3]
Crystalline Ba4IrPb at its relaxed geometry, computed with PBE-GGA.

Results
Polymorph energy (0 for the lowest one) ... 0.000 eV per atom
Formation energy from the elements ... -0.28 eV/atom

a b c (Å): 9.8831 15.0724 6.9923
angles (deg): 90.00 108.91 90.00
Last column: nearest neighbours and their distance in Å.
Space group C2/c (No. 15)
One atom of each set of equivalent atoms:
1 Ba 0.1095 0.1627 0.0465 x8  2 Ir 3.17-3.20
2 Ba 0.2133 0.4279 0.3863 x8  2 Ir 3.32-3.44, 1 Pb 3.65
3 Ir 0.0000 0.9999 0.2500 x4  8 Ba 3.17-3.44, 2 Ir 3.50
4 Pb 0.0000 0.3700 0.7500 x4  8 Ba 3.65-3.89

=====

[4]
Crystalline Ba4IrPb at its relaxed geometry, computed with PBE-GGA.

Results
Polymorph energy (0 for the lowest one) ... 0.993 eV per atom
Formation energy from the elements ... 0.71 eV/atom

a b c (Å): 9.7151 9.7151 9.7151
angles (deg): 90.00 90.00 90.00
Last column: nearest neighbours and their distance in Å.
Space group F-43m (No. 216)
One atom of each set of equivalent atoms:
1 Ba 0.1244 0.1244 0.1244 x16  6 Ba 3.42-3.45
2 Ir 0.2500 0.2500 0.7500 x4  12 Ba 4.03, 4 Pb 4.21
3 Pb 0.0000 0.0000 0.5000 x4  12 Ba 4.03, 4 Ir 4.21

=====

Among the records above, which one has the lowest formation energy from the elements?
number 3